A plane-wave DFT calculation with PBE was carried out for a relaxed structure of Hf3InCo.

Cell: 8.137 3.257 8.352 Å, 90.00 113.02 90.00°
Atoms (fractional coordinates):
1 Hf 0.017 0.250 0.308
2 Hf 0.300 0.750 0.181
3 Hf 0.343 0.250 0.872
4 Hf 0.657 0.750 0.128
5 Hf 0.700 0.250 0.819
6 Hf 0.983 0.750 0.692
7 In 0.338 0.750 0.564
8 In 0.662 0.250 0.436
9 Co 0.083 0.250 0.966
10 Co 0.917 0.750 0.034

## Properties
Space-group type   No. 11
Formation energy   -0.14 eV/atom
N(E_F)   10.1 states/eV/cell
Calculated volume   20.37 A^3/atom
E above lowest polymorph   0.38 eV per formula unit
Magnetization   0.00 μB/f.u.